<A>
CaIrS3: optimized geometry, PBE-GGA.

Cell lengths 5.071, 5.071, 5.071 Å; angles 90.00, 90.00, 90.00 degrees
Atoms (fractional coordinates):
Ir  0.500  0.500  0.500
S  0.000  0.000  0.500
S  0.500  0.000  0.000
S  0.000  0.500  0.000
Ca  0.000  0.000  0.000

Summary:
D(E_F)   7.8 states/eV/cell
Symmetry   Pm-3m


<B>
CaIrS3: optimized geometry, PBE-GGA.

Cell lengths 4.722, 4.722, 4.722 Å; angles 90.00, 90.00, 90.00 degrees
Atoms (fractional coordinates):
S  0.000  0.500  0.000
S  0.000  0.000  0.500
Ca  0.500  0.500  0.500
S  0.500  0.000  0.000
Ir  0.000  0.000  0.000

Summary:
D(E_F)   5.3 states/eV/cell
Symmetry   Pm-3m


Which of them is the most stable? Correct choice: <B>.